Computed, not measured: Ba2ZnSb after structural relaxation at the PBE level of DFT.

a = 4.288 Å, b = 4.386 Å, c = 7.988 Å
α = 90.00°, β = 90.00°, γ = 90.00°
Space group Pmmm (No. 47)
Unique sites:
1 Ba 0.000 0.000 0.233
2 Zn 0.500 0.500 0.500
3 Sb 0.500 0.500 0.000

Properties
The calculation puts the total energy at -2.88 eV/atom. The total moment comes out at 0.00 μB per cell. The calculation puts the formation energy without anion corrections at -0.57 eV/atom. The value obtained for the energy above the lowest structure with this stoichiometry is 76 meV/atom. As for the density of states at the Fermi level: 2.86 states/eV per cell.

---

Computed, not measured: Te2IrBr after structural relaxation at the PBE level of DFT.

a = 4.135 Å, b = 4.135 Å, c = 5.589 Å
α = 90.00°, β = 90.00°, γ = 90.00°
Space group P4/mmm (No. 123)
Unique sites:
1 Te 0.000 0.000 0.000
2 Te 0.500 0.500 0.500
3 Ir 0.000 0.000 0.500
4 Br 0.500 0.500 0.000

Properties
The calculation puts the total energy at -3.76 eV/atom. The total moment comes out at 0.00 μB per cell. The calculation puts the formation energy without anion corrections at 0.45 eV/atom. The value obtained for the energy above the lowest structure with this stoichiometry is 711 meV/atom. As for the density of states at the Fermi level: 2.47 states/eV per cell.

---

Computed, not measured: CoCuPt2 after structural relaxation at the PBE level of DFT.

a = 2.775 Å, b = 4.434 Å, c = 8.993 Å
α = 90.00°, β = 90.00°, γ = 90.00°
Space group Imm2 (No. 44)
Unique sites:
1 Co 0.000 0.000 0.000
2 Cu 0.000 0.500 0.734
3 Pt 0.000 0.000 0.486
4 Pt 0.000 0.500 0.257

Properties
The calculation puts the total energy at -5.82 eV/atom. As for the formation energy: 0.003 eV per atom. The total moment comes out at 5.16 μB per cell. As for the density of states at the Fermi level: 10.11 states/eV per cell.

---

Computed, not measured: Mn2ZnInGe after structural relaxation at the PBE level of DFT.

a = 4.761 Å, b = 4.761 Å, c = 5.303 Å
α = 90.00°, β = 90.00°, γ = 90.00°
Space group P4/mmm (No. 123)
Unique sites:
1 Mn 0.000 0.500 0.000
2 Zn 0.000 0.000 0.500
3 In 0.500 0.500 0.500
4 Ge 0.500 0.500 0.000

Properties
The calculation puts the total energy at -4.70 eV/atom. As for the formation energy: 0.698 eV per atom. The total moment comes out at 8.07 μB per cell. As for the density of states at the Fermi level: 2.99 states/eV per cell.

---

Computed, not measured: K2NaRhO4 after structural relaxation at the PBE level of DFT.

a = 6.251 Å, b = 6.251 Å, c = 7.487 Å
α = 90.00°, β = 90.00°, γ = 90.00°
Space group I-4 (No. 82)
Unique sites:
1 K 0.000 0.000 0.000
2 K 0.000 0.500 0.250
3 Na 0.000 0.000 0.500
4 Rh 0.000 0.500 0.750
5 O 0.156 0.701 0.618

Properties
The calculation puts the total energy at -4.92 eV/atom. The total moment comes out at 0.00 μB per cell. The calculation puts the formation energy without anion corrections at -1.09 eV/atom.

---

Computed, not measured: Mg2PaPt3 after structural relaxation at the PBE level of DFT.

a = 4.5275 Å, b = 4.5275 Å, c = 12.5313 Å
α = 90.00°, β = 90.00°, γ = 120.00°
Space group P-3m1 (No. 164)
Unique sites:
1 Mg 0.0000 0.0000 0.0000
2 Mg 0.0000 0.0000 0.5000
3 Mg 0.3333 0.6667 0.1408
4 Pa 0.3333 0.6667 0.6790
5 Pt 0.0000 0.0000 0.2142
6 Pt 0.3333 0.6667 0.4389
7 Pt 0.3333 0.6667 0.9161

Properties
The calculation puts the total energy at -6.04 eV/atom. As for the formation energy: -0.904 eV per atom. The total moment comes out at 0.00 μB per cell. As for the density of states at the Fermi level: 7.77 states/eV per cell.

---

Computed, not measured: La8TePb5 after structural relaxation at the PBE level of DFT.

a = 9.865 Å, b = 9.865 Å, c = 9.858 Å
α = 90.00°, β = 90.00°, γ = 90.00°
Space group I-4 (No. 82)
Unique sites:
1 La 0.071 0.180 0.194
2 La 0.073 0.319 0.553
3 Te 0.000 0.000 0.500
4 Pb 0.000 0.500 0.250
5 Pb 0.125 0.252 0.874

Properties
The calculation puts the total energy at -5.11 eV/atom. The total moment comes out at 0.00 μB per cell. The calculation puts the formation energy without anion corrections at -0.75 eV/atom. As for the density of states at the Fermi level: 24.32 states/eV per cell.

---

Computed, not measured: SmZn2F8 after structural relaxation at the PBE level of DFT.

a = 5.504 Å, b = 5.504 Å, c = 10.704 Å
α = 90.00°, β = 90.00°, γ = 90.00°
Space group I422 (No. 97)
Unique sites:
1 Sm 0.000 0.000 0.000
2 Zn 0.000 0.500 0.250
3 F 0.164 0.304 0.872

Properties
The calculation puts the total energy at -4.68 eV/atom. The total moment comes out at 2.16 μB per cell. The calculation puts the formation energy without anion corrections at -2.66 eV/atom. As for the density of states at the Fermi level: 12.09 states/eV per cell.